No. 1
Sr2CdRh2 after structural relaxation, computed with GGA-PBE.

Values from the calculation:
**M_tot**: 0.00 μB/cell
**Density of states at the Fermi level**: 7.78 states/eV per cell
**ΔH_f (0 K)**: -0.32 eV/atom

The structure in CIF format:
```
data_Sr2CdRh2
_chemical_formula_sum 'Sr4 Cd2 Rh4'
_space_group_name_H-M_alt 'P 1'
_space_group_IT_number 1
_cell_length_a 4.515
_cell_length_b 5.933
_cell_length_c 9.192
_cell_angle_alpha 90.00
_cell_angle_beta 90.00
_cell_angle_gamma 90.00
loop_
_space_group_symop_operation_xyz
'x,y,z'
loop_
_atom_site_label
_atom_site_fract_x
_atom_site_fract_y
_atom_site_fract_z
_atom_site_occupancy
Sr1 0.000 0.000 0.203 1
Sr2 0.000 0.000 0.797 1
Sr3 0.500 0.500 0.297 1
Sr4 0.500 0.500 0.703 1
Cd1 0.000 0.500 0.000 1
Cd2 0.500 0.000 0.500 1
Rh1 0.000 0.277 0.500 1
Rh2 0.000 0.723 0.500 1
Rh3 0.500 0.223 0.000 1
Rh4 0.500 0.777 0.000 1
```

---

No. 2
RbV2As after structural relaxation, computed with GGA-PBE.

Values from the calculation:
**M_tot**: 5.94 μB/cell
**Density of states at the Fermi level**: 23.17 states/eV per cell
**ΔH_f (0 K)**: 0.78 eV/atom

The structure in CIF format:
```
data_RbV2As
_chemical_formula_sum 'Rb4 V8 As4'
_space_group_name_H-M_alt 'P 1'
_space_group_IT_number 1
_cell_length_a 4.755
_cell_length_b 4.755
_cell_length_c 18.071
_cell_angle_alpha 90.00
_cell_angle_beta 90.00
_cell_angle_gamma 90.00
loop_
_space_group_symop_operation_xyz
'x,y,z'
loop_
_atom_site_label
_atom_site_fract_x
_atom_site_fract_y
_atom_site_fract_z
_atom_site_occupancy
Rb1 0.000 0.250 0.375 1
Rb2 0.000 0.750 0.625 1
Rb3 0.500 0.250 0.125 1
Rb4 0.500 0.750 0.875 1
V1 0.000 0.000 0.000 1
V2 0.000 0.500 0.000 1
V3 0.250 0.250 0.750 1
V4 0.250 0.750 0.250 1
V5 0.500 0.000 0.500 1
V6 0.500 0.500 0.500 1
V7 0.750 0.250 0.750 1
V8 0.750 0.750 0.250 1
As1 0.000 0.250 0.875 1
As2 0.000 0.750 0.125 1
As3 0.500 0.250 0.625 1
As4 0.500 0.750 0.375 1
```

---

No. 3
Li3CaMo after structural relaxation, computed with GGA-PBE.

Values from the calculation:
**M_tot**: 3.83 μB/cell
**Density of states at the Fermi level**: 2.77 states/eV per cell
**ΔE to the lowest computed polymorph**: 0 meV per atom
**ΔH_f (0 K)**: 0.90 eV/atom

The structure in CIF format:
```
data_Li3CaMo
_chemical_formula_sum 'Li3 Ca1 Mo1'
_space_group_name_H-M_alt 'P 1'
_space_group_IT_number 1
_cell_length_a 5.078
_cell_length_b 5.078
_cell_length_c 5.078
_cell_angle_alpha 90.00
_cell_angle_beta 90.00
_cell_angle_gamma 90.00
loop_
_space_group_symop_operation_xyz
'x,y,z'
loop_
_atom_site_label
_atom_site_fract_x
_atom_site_fract_y
_atom_site_fract_z
_atom_site_occupancy
Li1 0.000 0.000 0.500 1
Li2 0.000 0.500 0.000 1
Li3 0.500 0.000 0.000 1
Ca1 0.500 0.500 0.500 1
Mo1 0.000 0.000 0.000 1
```

---

No. 4
KTcPCl2 after structural relaxation, computed with GGA-PBE.

Values from the calculation:
**Formation energy from raw total energies**: 5.40 eV/f.u.
**M_tot**: 5.01 μB/cell
**Density of states at the Fermi level**: 2.59 states/eV per cell
**ΔE to the lowest computed polymorph**: 1586 meV per atom

The structure in CIF format:
```
data_KTcPCl2
_chemical_formula_sum 'K1 Tc1 P1 Cl2'
_space_group_name_H-M_alt 'P 1'
_space_group_IT_number 1
_cell_length_a 5.422
_cell_length_b 5.422
_cell_length_c 5.893
_cell_angle_alpha 90.00
_cell_angle_beta 90.00
_cell_angle_gamma 90.00
loop_
_space_group_symop_operation_xyz
'x,y,z'
loop_
_atom_site_label
_atom_site_fract_x
_atom_site_fract_y
_atom_site_fract_z
_atom_site_occupancy
K1 0.000 0.000 0.000 1
Tc1 0.500 0.500 0.500 1
P1 0.000 0.000 0.500 1
Cl1 0.000 0.500 0.000 1
Cl2 0.500 0.000 0.000 1
```

---

No. 5
Al3C after structural relaxation, computed with GGA-PBE.

Values from the calculation:
**M_tot**: 0.00 μB/cell
**Density of states at the Fermi level**: 1.92 states/eV per cell
**ΔE to the lowest computed polymorph**: 980 meV per atom
**ΔH_f (0 K)**: 1.01 eV/atom

The structure in CIF format:
```
data_Al3C
_chemical_formula_sum 'Al3 C1'
_space_group_name_H-M_alt 'P 1'
_space_group_IT_number 1
_cell_length_a 3.906
_cell_length_b 3.906
_cell_length_c 3.643
_cell_angle_alpha 90.00
_cell_angle_beta 90.00
_cell_angle_gamma 90.00
loop_
_space_group_symop_operation_xyz
'x,y,z'
loop_
_atom_site_label
_atom_site_fract_x
_atom_site_fract_y
_atom_site_fract_z
_atom_site_occupancy
Al1 0.000 0.000 0.000 1
Al2 0.000 0.500 0.500 1
Al3 0.500 0.000 0.500 1
C1 0.500 0.500 0.000 1
```

---

No. 6
Nd4AlZn2Cu after structural relaxation, computed with GGA-PBE.

Values from the calculation:
**M_tot**: 0.00 μB/cell
**Density of states at the Fermi level**: 7.99 states/eV per cell
**ΔH_f (0 K)**: -0.27 eV/atom

The structure in CIF format:
```
data_Nd4AlZn2Cu
_chemical_formula_sum 'Nd4 Al1 Zn2 Cu1'
_space_group_name_H-M_alt 'P 1'
_space_group_IT_number 1
_cell_length_a 9.007
_cell_length_b 9.007
_cell_length_c 9.007
_cell_angle_alpha 33.50
_cell_angle_beta 33.50
_cell_angle_gamma 33.50
loop_
_space_group_symop_operation_xyz
'x,y,z'
loop_
_atom_site_label
_atom_site_fract_x
_atom_site_fract_y
_atom_site_fract_z
_atom_site_occupancy
Nd1 0.122 0.122 0.122 1
Nd2 0.372 0.372 0.372 1
Nd3 0.628 0.628 0.628 1
Nd4 0.878 0.878 0.878 1
Al1 0.500 0.500 0.500 1
Zn1 0.246 0.246 0.246 1
Zn2 0.754 0.754 0.754 1
Cu1 0.000 0.000 0.000 1
```

---

No. 7
Li2BePdO after structural relaxation, computed with GGA-PBE.

Values from the calculation:
**Formation energy from raw total energies**: 1.77 eV/f.u.
**M_tot**: 0.00 μB/cell
**Density of states at the Fermi level**: 0.83 states/eV per cell

The structure in CIF format:
```
data_Li2BePdO
_chemical_formula_sum 'Li2 Be1 Pd1 O1'
_space_group_name_H-M_alt 'P 1'
_space_group_IT_number 1
_cell_length_a 4.560
_cell_length_b 4.560
_cell_length_c 4.161
_cell_angle_alpha 90.00
_cell_angle_beta 90.00
_cell_angle_gamma 90.00
loop_
_space_group_symop_operation_xyz
'x,y,z'
loop_
_atom_site_label
_atom_site_fract_x
_atom_site_fract_y
_atom_site_fract_z
_atom_site_occupancy
Li1 0.000 0.500 0.000 1
Li2 0.500 0.000 0.000 1
Be1 0.000 0.000 0.500 1
Pd1 0.000 0.000 0.000 1
O1 0.500 0.500 0.500 1
```

---

No. 8
TiPb2S after structural relaxation, computed with GGA-PBE.

Values from the calculation:
**Formation energy from raw total energies**: 1.37 eV/f.u.
**M_tot**: 8.47 μB/cell
**Density of states at the Fermi level**: 18.09 states/eV per cell

The structure in CIF format:
```
data_TiPb2S
_chemical_formula_sum 'Ti4 Pb8 S4'
_space_group_name_H-M_alt 'P 1'
_space_group_IT_number 1
_cell_length_a 8.120
_cell_length_b 8.120
_cell_length_c 6.132
_cell_angle_alpha 90.00
_cell_angle_beta 90.00
_cell_angle_gamma 90.00
loop_
_space_group_symop_operation_xyz
'x,y,z'
loop_
_atom_site_label
_atom_site_fract_x
_atom_site_fract_y
_atom_site_fract_z
_atom_site_occupancy
Ti1 0.000 0.000 0.000 1
Ti2 0.000 0.500 0.250 1
Ti3 0.500 0.000 0.750 1
Ti4 0.500 0.500 0.500 1
Pb1 0.242 0.250 0.625 1
Pb2 0.250 0.742 0.875 1
Pb3 0.250 0.758 0.375 1
Pb4 0.258 0.250 0.125 1
Pb5 0.742 0.750 0.125 1
Pb6 0.750 0.242 0.375 1
Pb7 0.750 0.258 0.875 1
Pb8 0.758 0.750 0.625 1
S1 0.000 0.000 0.500 1
S2 0.000 0.500 0.750 1
S3 0.500 0.000 0.250 1
S4 0.500 0.500 0.000 1
```

---

No. 9
PmFeAs after structural relaxation, computed with GGA-PBE.

Values from the calculation:
**M_tot**: 4.47 μB/cell
**Density of states at the Fermi level**: 7.64 states/eV per cell
**ΔE to the lowest computed polymorph**: 621 meV per atom
**ΔH_f (0 K)**: -0.09 eV/atom

The structure in CIF format:
```
data_PmFeAs
_chemical_formula_sum 'Pm2 Fe2 As2'
_space_group_name_H-M_alt 'P 1'
_space_group_IT_number 1
_cell_length_a 3.956
_cell_length_b 3.956
_cell_length_c 8.304
_cell_angle_alpha 90.00
_cell_angle_beta 90.00
_cell_angle_gamma 90.00
loop_
_space_group_symop_operation_xyz
'x,y,z'
loop_
_atom_site_label
_atom_site_fract_x
_atom_site_fract_y
_atom_site_fract_z
_atom_site_occupancy
Pm1 0.000 0.000 0.000 1
Pm2 0.500 0.500 0.500 1
Fe1 0.000 0.000 0.362 1
Fe2 0.500 0.500 0.862 1
As1 0.000 0.000 0.652 1
As2 0.500 0.500 0.152 1
```

---

No. 10
CdTeO3 after structural relaxation, computed with GGA-PBE.

Values from the calculation:
**Formation energy from raw total energies**: -5.46 eV/f.u.
**M_tot**: 0.00 μB/cell
**Density of states at the Fermi level**: 0.00 states/eV per cell

The structure in CIF format:
```
data_CdTeO3
_chemical_formula_sum 'Cd4 Te4 O12'
_space_group_name_H-M_alt 'P 1'
_space_group_IT_number 1
_cell_length_a 6.428
_cell_length_b 8.155
_cell_length_c 5.690
_cell_angle_alpha 90.00
_cell_angle_beta 90.00
_cell_angle_gamma 90.00
loop_
_space_group_symop_operation_xyz
'x,y,z'
loop_
_atom_site_label
_atom_site_fract_x
_atom_site_fract_y
_atom_site_fract_z
_atom_site_occupancy
Cd1 0.000 0.000 0.000 1
Cd2 0.000 0.500 0.000 1
Cd3 0.500 0.000 0.500 1
Cd4 0.500 0.500 0.500 1
Te1 0.001 0.250 0.487 1
Te2 0.499 0.750 0.987 1
Te3 0.501 0.250 0.013 1
Te4 0.999 0.750 0.513 1
O1 0.082 0.750 0.190 1
O2 0.172 0.577 0.636 1
O3 0.172 0.923 0.636 1
O4 0.328 0.077 0.136 1
O5 0.328 0.423 0.136 1
O6 0.418 0.250 0.690 1
O7 0.582 0.750 0.310 1
O8 0.672 0.577 0.864 1
O9 0.672 0.923 0.864 1
O10 0.828 0.077 0.364 1
O11 0.828 0.423 0.364 1
O12 0.918 0.250 0.810 1
```

---

No. 11
AcNdHIr after structural relaxation, computed with GGA-PBE.

Values from the calculation:
**M_tot**: 0.00 μB/cell
**Density of states at the Fermi level**: 9.05 states/eV per cell

The structure in CIF format:
```
data_AcNdHIr
_chemical_formula_sum 'Ac4 Nd4 H4 Ir4'
_space_group_name_H-M_alt 'P 1'
_space_group_IT_number 1
_cell_length_a 7.117
_cell_length_b 7.117
_cell_length_c 7.117
_cell_angle_alpha 90.00
_cell_angle_beta 90.00
_cell_angle_gamma 90.00
loop_
_space_group_symop_operation_xyz
'x,y,z'
loop_
_atom_site_label
_atom_site_fract_x
_atom_site_fract_y
_atom_site_fract_z
_atom_site_occupancy
Ac1 0.000 0.000 0.000 1
Ac2 0.000 0.500 0.500 1
Ac3 0.500 0.000 0.500 1
Ac4 0.500 0.500 0.000 1
Nd1 0.000 0.000 0.500 1
Nd2 0.000 0.500 0.000 1
Nd3 0.500 0.000 0.000 1
Nd4 0.500 0.500 0.500 1
H1 0.250 0.250 0.750 1
H2 0.250 0.750 0.250 1
H3 0.750 0.250 0.250 1
H4 0.750 0.750 0.750 1
Ir1 0.250 0.250 0.250 1
Ir2 0.250 0.750 0.750 1
Ir3 0.750 0.250 0.750 1
Ir4 0.750 0.750 0.250 1
```

---

No. 12
Al2ZnCu2 after structural relaxation, computed with GGA-PBE.

Values from the calculation:
**M_tot**: 0.00 μB/cell
**Density of states at the Fermi level**: 0.81 states/eV per cell
**ΔE to the lowest computed polymorph**: 0 meV per atom
**ΔH_f (0 K)**: -0.15 eV/atom

The structure in CIF format:
```
data_Al2ZnCu2
_chemical_formula_sum 'Al4 Zn2 Cu4'
_space_group_name_H-M_alt 'P 1'
_space_group_IT_number 1
_cell_length_a 4.088
_cell_length_b 4.115
_cell_length_c 8.818
_cell_angle_alpha 90.00
_cell_angle_beta 90.00
_cell_angle_gamma 90.00
loop_
_space_group_symop_operation_xyz
'x,y,z'
loop_
_atom_site_label
_atom_site_fract_x
_atom_site_fract_y
_atom_site_fract_z
_atom_site_occupancy
Al1 0.250 0.250 0.003 1
Al2 0.250 0.250 0.678 1
Al3 0.750 0.750 0.322 1
Al4 0.750 0.750 0.997 1
Zn1 0.250 0.250 0.321 1
Zn2 0.750 0.750 0.679 1
Cu1 0.250 0.750 0.162 1
Cu2 0.250 0.750 0.492 1
Cu3 0.750 0.250 0.508 1
Cu4 0.750 0.250 0.838 1
```

---

no.,raw total energy (hartree per atom)
1,-0.1514
2,-0.1903
3,-0.1034
4,-0.1115
5,-0.1509
6,-0.1453
7,-0.1172
8,-0.1660
9,-0.2222
10,-0.1792
11,-0.2049
12,-0.1303